1.
{
  "formula": "CuCClO",
  "functional": "GGA-PBE",
  "state": "optimized geometry",
  "lattice": [[3.659, 0.000, 0.000], [0.000, 5.103, 0.000], [0.000, 0.000, 8.571]],
  "species": ["Cu", "Cu", "O", "O", "C", "C", "Cl", "Cl"],
  "fractional_positions": [[0.500, 0.511, 0.138], [0.000, 0.011, 0.862], [0.500, 0.822, 0.430], [0.000, 0.322, 0.570], [0.500, 0.704, 0.315], [0.000, 0.204, 0.685], [0.000, 0.218, 0.108], [0.500, 0.718, 0.892]],
  "raw_formation_energy_ev_per_atom": -0.561
}

***

2.
{
  "formula": "Cu2CClO",
  "functional": "GGA-PBE",
  "state": "optimized geometry",
  "lattice": [[4.171, 0.000, 0.000], [0.000, 3.371, 0.000], [0.000, 0.000, 4.171]],
  "species": ["C", "Cu", "Cu", "Cl", "O"],
  "fractional_positions": [[0.000, 0.000, 0.000], [0.500, 0.000, 0.000], [0.000, 0.000, 0.500], [0.500, 0.500, 0.500], [0.000, 0.500, 0.000]],
  "raw_formation_energy_ev_per_atom": 0.689
}